# 1
! Sr2TlV, optimized geometry, DFT GGA-PBE; values from VASP
! VASP energy = -50.074 eV for the cell shown
! space group = I-42d
! offset from the most stable computed form = 291.7 meV per atom
! total magnetization = 3.68 μB per formula unit
&SYSTEM
  ibrav = 0, nat = 16, ntyp = 3
/
ATOMIC_SPECIES
Sr 87.62 Sr.upf
Tl 204.38 Tl.upf
V 50.94 V.upf
CELL_PARAMETERS angstrom
8.996 0.000 0.000
0.000 8.996 0.000
0.000 0.000 6.725
ATOMIC_POSITIONS angstrom
Sr 2.186 2.249 0.841
Sr 2.249 6.684 2.522
Sr 2.249 6.810 5.884
Sr 2.312 2.249 4.203
Sr 6.684 6.747 4.203
Sr 6.747 2.186 5.884
Sr 6.747 2.312 2.522
Sr 6.810 6.747 0.841
Tl 0.000 0.000 3.362
Tl 0.000 4.498 5.044
Tl 4.498 0.000 1.681
Tl 4.498 4.498 0.000
V 0.000 0.000 0.000
V 0.000 4.498 1.681
V 4.498 0.000 5.044
V 4.498 4.498 3.362

***

# 2
! IrAuSe2, optimized geometry, DFT GGA-PBE; values from VASP
! formation energy (no corrections) = -0.01 eV per atom
! VASP energy = -76.649 eV for the cell shown
! space group = C2/c
! total magnetization = 0.00 μB per formula unit
&SYSTEM
  ibrav = 0, nat = 16, ntyp = 3
/
ATOMIC_SPECIES
Ir 192.22 Ir.upf
Au 196.97 Au.upf
Se 78.96 Se.upf
CELL_PARAMETERS angstrom
8.144 0.000 0.000
0.000 11.561 0.000
-1.880 0.000 5.083
ATOMIC_POSITIONS angstrom
Ir -0.470 0.010 1.271
Ir -1.410 11.551 3.813
Ir 2.663 5.770 3.813
Ir 3.602 5.791 1.271
Au -0.470 5.099 1.271
Au -1.410 6.462 3.813
Au 2.663 0.681 3.813
Au 3.602 10.880 1.271
Se 0.408 1.380 3.047
Se 1.347 10.181 0.505
Se 1.785 4.401 2.037
Se 0.845 7.160 4.578
Se 5.420 4.401 0.505
Se 4.480 7.160 3.047
Se 4.918 1.380 4.578
Se 5.857 10.181 2.037